Entry 1:
A geometry-optimized TbTcRu structure. Source: the Alexandria database, functional GGA-PBE.

## Properties
M_tot	0.0	μB per formula unit
space-group type	C2/m
energy relative to the lowest polymorph listed for this composition	0.417	eV/atom
uncorrected energy	-23.708	eV/f.u.

Cell: 5.027 5.027 5.203 Å, 105.21 105.21 68.14°
Element x y z (fractional)
Tb: 0.131 0.131 0.365
Tb: 0.869 0.869 0.635
Tc: 0.000 0.500 0.000
Tc: 0.500 0.000 0.000
Ru: 0.492 0.492 0.256
Ru: 0.508 0.508 0.744

---

Entry 2:
A geometry-optimized Tb2Tc3Ru structure. Source: the Alexandria database, functional GGA-PBE.

## Properties
M_tot	0.0	μB per formula unit
space-group type	C2/m
uncorrected energy	-50.708	eV/f.u.

Cell: 5.242 5.242 5.576 Å, 118.18 118.18 60.06°
Element x y z (fractional)
Tb: 0.125 0.125 0.375
Tb: 0.875 0.875 0.625
Tc: 0.000 0.500 0.000
Tc: 0.500 0.000 0.000
Tc: 0.500 0.500 0.000
Ru: 0.500 0.500 0.500

---

Entry 3:
A geometry-optimized TbTcRuW structure. Source: the Alexandria database, functional GGA-PBE.

## Properties
M_tot	0.0	μB per formula unit
space-group type	F-43m
uncorrected energy	-37.182	eV/f.u.

Cell: 4.591 4.591 4.591 Å, 60.00 60.00 60.00°
Element x y z (fractional)
Tb: 0.000 0.000 0.000
Tc: 0.750 0.750 0.750
Ru: 0.250 0.250 0.250
W: 0.500 0.500 0.500

---

Entry 4:
A geometry-optimized TbZrTcRu structure. Source: the Alexandria database, functional GGA-PBE.

## Properties
M_tot	0.0	μB per formula unit
space-group type	F-43m
uncorrected energy	-33.757	eV/f.u.

Cell: 4.734 4.734 4.734 Å, 60.00 60.00 60.00°
Element x y z (fractional)
Tb: 0.000 0.000 0.000
Zr: 0.500 0.500 0.500
Tc: 0.250 0.250 0.250
Ru: 0.750 0.750 0.750

---

Entry 5:
A geometry-optimized Tb6Te3Ru structure. Source: the Alexandria database, functional GGA-PBE.

## Properties
M_tot	0.0	μB per formula unit
space-group type	P2_1/m
uncorrected formation energy	-0.797	eV/atom
uncorrected energy	-54.454	eV/f.u.

Cell: 12.341 4.032 13.062 Å, 90.00 115.35 90.00°
Element x y z (fractional)
Tb: 0.019 0.250 0.123
Tb: 0.147 0.750 0.507
Tb: 0.251 0.250 0.773
Tb: 0.340 0.250 0.234
Tb: 0.419 0.250 0.617
Tb: 0.424 0.750 0.058
Tb: 0.576 0.250 0.942
Tb: 0.581 0.750 0.383
Tb: 0.660 0.750 0.766
Tb: 0.749 0.750 0.227
Tb: 0.853 0.250 0.493
Tb: 0.981 0.750 0.877
Te: 0.025 0.750 0.667
Te: 0.182 0.250 0.983
Te: 0.330 0.750 0.408
Te: 0.670 0.250 0.592
Te: 0.818 0.750 0.017
Te: 0.975 0.250 0.333
Ru: 0.433 0.750 0.785
Ru: 0.567 0.250 0.215

---

Entry 6:
A geometry-optimized Tb3TeRu structure. Source: the Alexandria database, functional GGA-PBE.

## Properties
M_tot	0.0	μB per formula unit
space-group type	C2/m
energy relative to the lowest polymorph listed for this composition	0.000	eV/atom
uncorrected formation energy	-0.687	eV/atom
uncorrected energy	-29.744	eV/f.u.

Cell: 8.818 8.818 8.441 Å, 110.88 110.88 28.17°
Element x y z (fractional)
Tb: 0.081 0.081 0.185
Tb: 0.241 0.241 0.741
Tb: 0.403 0.403 0.160
Tb: 0.597 0.597 0.840
Tb: 0.759 0.759 0.259
Tb: 0.919 0.919 0.815
Te: 0.381 0.381 0.529
Te: 0.619 0.619 0.471
Ru: 0.190 0.190 0.025
Ru: 0.810 0.810 0.975

---

Entry 7:
A geometry-optimized Tb8TeRu2 structure. Source: the Alexandria database, functional GGA-PBE.

## Properties
M_tot	0.0	μB per formula unit
space-group type	C2/m
uncorrected formation energy	-0.335	eV/atom
uncorrected energy	-62.424	eV/f.u.

Cell: 7.654 7.654 5.906 Å, 96.57 96.57 113.04°
Element x y z (fractional)
Tb: 0.067 0.337 0.611
Tb: 0.248 0.752 0.000
Tb: 0.337 0.067 0.611
Tb: 0.383 0.383 0.213
Tb: 0.617 0.617 0.787
Tb: 0.663 0.933 0.389
Tb: 0.752 0.248 0.000
Tb: 0.933 0.663 0.389
Te: 0.000 0.000 0.000
Ru: 0.313 0.687 0.500
Ru: 0.687 0.313 0.500

---

Entry 8:
A geometry-optimized Tb4TeRu structure. Source: the Alexandria database, functional GGA-PBE.

## Properties
M_tot	0.0	μB per formula unit
space-group type	C2/m
energy relative to the lowest polymorph listed for this composition	0.274	eV/atom
uncorrected formation energy	-0.375	eV/atom
uncorrected energy	-33.188	eV/f.u.

Cell: 9.390 9.390 9.518 Å, 109.78 109.78 33.05°
Element x y z (fractional)
Tb: 0.018 0.018 0.241
Tb: 0.199 0.199 0.904
Tb: 0.239 0.239 0.307
Tb: 0.399 0.399 0.962
Tb: 0.601 0.601 0.038
Tb: 0.761 0.761 0.693
Tb: 0.801 0.801 0.096
Tb: 0.982 0.982 0.759
Te: 0.160 0.160 0.556
Te: 0.840 0.840 0.444
Ru: 0.096 0.096 0.052
Ru: 0.904 0.904 0.948